1.
# Pm8Tl2Sn GGA-PBE optimized geometry
data_Pm8Tl2Sn
_chemical_formula_sum 'Pm16 Tl4 Sn2'
_cell_length_a 19.514
_cell_length_b 5.333
_cell_length_c 7.053
_cell_angle_alpha 90.00
_cell_angle_beta 105.07
_cell_angle_gamma 90.00
_symmetry_space_group_name_H-M 'C 1 2/m 1'
_symmetry_Int_Tables_number 12
loop_
_symmetry_equiv_pos_as_xyz
'x,y,z'
'-x,-y,-z'
'-x,y,-z'
'x,-y,z'
'x+1/2,y+1/2,z'
'-x+1/2,-y+1/2,-z'
'-x+1/2,y+1/2,-z'
'x+1/2,-y+1/2,z'
loop_
_atom_site_label
_atom_site_type_symbol
_atom_site_fract_x
_atom_site_fract_y
_atom_site_fract_z
_atom_site_occupancy
Pm1 Pm 0.014 0.000 0.263 1
Pm2 Pm 0.092 0.500 0.970 1
Pm3 Pm 0.160 0.500 0.488 1
Pm4 Pm 0.207 0.000 0.822 1
Tl1 Tl 0.178 0.000 0.248 1
Sn1 Sn 0.000 0.500 0.500 1
# calculated volume: 709 Å³/cell
# N(E_F): 1.169 states/eV/atom
# formation energy: -236 meV per atom
# electronic total energy: -4.486 eV/atom

=====

2.
# AlReTe GGA-PBE optimized geometry
data_AlReTe
_chemical_formula_sum 'Al1 Re1 Te1'
_cell_length_a 4.6365
_cell_length_b 4.6365
_cell_length_c 2.9621
_cell_angle_alpha 90.00
_cell_angle_beta 90.00
_cell_angle_gamma 120.00
_symmetry_space_group_name_H-M 'P -6 m 2'
_symmetry_Int_Tables_number 187
_symmetry_space_group_name_Hall 'P -6 2'
loop_
_atom_site_label
_atom_site_type_symbol
_atom_site_fract_x
_atom_site_fract_y
_atom_site_fract_z
_atom_site_occupancy
Al1 Al 0.0000 0.0000 0.0000 1
Re1 Re 0.6667 0.3333 0.5000 1
Te1 Te 0.3333 0.6667 0.5000 1
# calculated volume: 55 Å³/cell
# excess energy over the best structure of this formula in the dataset: 0.316 eV per atom
# N(E_F): 1.133 states/eV/atom
# electronic total energy: -5.825 eV/atom
# raw formation energy: 620 meV/atom

=====

3.
# AlTeW2 GGA-PBE optimized geometry
data_AlTeW2
_chemical_formula_sum 'Al1 Te1 W2'
_cell_length_a 2.858
_cell_length_b 4.184
_cell_length_c 6.533
_cell_angle_alpha 90.00
_cell_angle_beta 94.35
_cell_angle_gamma 90.00
_symmetry_space_group_name_H-M 'P 1 2/m 1'
_symmetry_Int_Tables_number 10
loop_
_symmetry_equiv_pos_as_xyz
'x,y,z'
'-x,-y,-z'
'-x,y,-z'
'x,-y,z'
loop_
_atom_site_label
_atom_site_type_symbol
_atom_site_fract_x
_atom_site_fract_y
_atom_site_fract_z
_atom_site_occupancy
Al1 Al 0.000 0.000 0.000 1
Te1 Te 0.500 0.000 0.500 1
W1 W 0.373 0.500 0.816 1
# calculated volume: 78 Å³/cell
# excess energy over the best structure of this formula in the dataset: 0.373 eV per atom
# N(E_F): 0.906 states/eV/atom
# electronic total energy: -7.532 eV/atom
# raw formation energy: 665 meV/atom

=====

4.
# TiFeSe4 GGA-PBE optimized geometry
data_TiFeSe4
_chemical_formula_sum 'Ti4 Fe4 Se16'
_cell_length_a 7.156
_cell_length_b 7.215
_cell_length_c 9.760
_cell_angle_alpha 90.00
_cell_angle_beta 90.00
_cell_angle_gamma 90.00
_symmetry_space_group_name_H-M 'I m m a'
_symmetry_Int_Tables_number 74
_symmetry_space_group_name_Hall '-I 2b 2'
loop_
_atom_site_label
_atom_site_type_symbol
_atom_site_fract_x
_atom_site_fract_y
_atom_site_fract_z
_atom_site_occupancy
Ti1 Ti 0.250 0.250 0.250 1
Fe1 Fe 0.000 0.000 0.000 1
Se1 Se 0.000 0.003 0.748 1
Se2 Se 0.229 0.250 0.989 1
# calculated volume: 504 Å³/cell
# N(E_F): 0.858 states/eV/atom
# electronic total energy: -5.656 eV/atom
# raw formation energy: -606 meV/atom

=====

5.
# Sr3Ca2In3 GGA-PBE optimized geometry
data_Sr3Ca2In3
_chemical_formula_sum 'Sr6 Ca4 In6'
_cell_length_a 4.115
_cell_length_b 5.855
_cell_length_c 23.786
_cell_angle_alpha 90.00
_cell_angle_beta 90.00
_cell_angle_gamma 90.00
_symmetry_space_group_name_H-M 'I m m m'
_symmetry_Int_Tables_number 71
_symmetry_space_group_name_Hall '-I 2 2'
loop_
_atom_site_label
_atom_site_type_symbol
_atom_site_fract_x
_atom_site_fract_y
_atom_site_fract_z
_atom_site_occupancy
Sr1 Sr 0.000 0.000 0.000 1
Sr2 Sr 0.000 0.500 0.118 1
Ca1 Ca 0.000 0.000 0.229 1
In1 In 0.000 0.000 0.500 1
In2 In 0.000 0.500 0.378 1
# calculated volume: 573 Å³/cell
# N(E_F): 0.792 states/eV/atom
# formation energy: -323 meV per atom
# electronic total energy: -2.481 eV/atom

=====

6.
# VSiNi GGA-PBE optimized geometry
data_VSiNi
_chemical_formula_sum 'V1 Si1 Ni1'
_cell_length_a 3.9552
_cell_length_b 3.9552
_cell_length_c 2.6962
_cell_angle_alpha 90.00
_cell_angle_beta 90.00
_cell_angle_gamma 120.00
_symmetry_space_group_name_H-M 'P -6 m 2'
_symmetry_Int_Tables_number 187
_symmetry_space_group_name_Hall 'P -6 2'
loop_
_atom_site_label
_atom_site_type_symbol
_atom_site_fract_x
_atom_site_fract_y
_atom_site_fract_z
_atom_site_occupancy
V1 V 0.0000 0.0000 0.0000 1
Si1 Si 0.6667 0.3333 0.5000 1
Ni1 Ni 0.3333 0.6667 0.5000 1
# calculated volume: 37 Å³/cell
# N(E_F): 1.052 states/eV/atom
# electronic total energy: -7.247 eV/atom
# raw formation energy: -472 meV/atom

=====

7.
# TlCr2Si GGA-PBE optimized geometry
data_TlCr2Si
_chemical_formula_sum 'Tl1 Cr2 Si1'
_cell_length_a 3.041
_cell_length_b 3.027
_cell_length_c 6.773
_cell_angle_alpha 90.00
_cell_angle_beta 90.18
_cell_angle_gamma 90.00
_symmetry_space_group_name_H-M 'P 1 m 1'
_symmetry_Int_Tables_number 6
loop_
_symmetry_equiv_pos_as_xyz
'x,y,z'
'x,-y,z'
loop_
_atom_site_label
_atom_site_type_symbol
_atom_site_fract_x
_atom_site_fract_y
_atom_site_fract_z
_atom_site_occupancy
Tl1 Tl 0.000 0.000 0.000 1
Cr1 Cr 0.002 0.000 0.479 1
Cr2 Cr 0.501 0.500 0.285 1
Si1 Si 0.503 0.500 0.649 1
# calculated volume: 62 Å³/cell
# N(E_F): 0.559 states/eV/atom
# electronic total energy: -6.374 eV/atom
# raw formation energy: 385 meV/atom

=====

8.
# CsLiCr2Cl8 GGA-PBE optimized geometry
data_CsLiCr2Cl8
_chemical_formula_sum 'Cs1 Li1 Cr2 Cl8'
_cell_length_a 6.6711
_cell_length_b 6.6711
_cell_length_c 9.4291
_cell_angle_alpha 90.00
_cell_angle_beta 90.00
_cell_angle_gamma 120.00
_symmetry_space_group_name_H-M 'P -3'
_symmetry_Int_Tables_number 147
loop_
_symmetry_equiv_pos_as_xyz
'x,y,z'
'-x,-y,-z'
'-y,x-y,z'
'y,-x+y,-z'
'-x+y,-x,z'
'x-y,x,-z'
loop_
_atom_site_label
_atom_site_type_symbol
_atom_site_fract_x
_atom_site_fract_y
_atom_site_fract_z
_atom_site_occupancy
Cs1 Cs 0.0000 0.0000 0.0000 1
Li1 Li 0.0000 0.0000 0.5000 1
Cr1 Cr 0.3333 0.6667 0.7200 1
Cl1 Cl 0.0248 0.3246 0.6670 1
Cl2 Cl 0.3333 0.6667 0.9525 1
# calculated volume: 363 Å³/cell
# N(E_F): 0.967 states/eV/atom
# electronic total energy: -4.285 eV/atom
# raw formation energy: -1219 meV/atom

=====

9.
# Mn2TlBr4 GGA-PBE optimized geometry
data_Mn2TlBr4
_chemical_formula_sum 'Mn4 Tl2 Br8'
_cell_length_a 8.660
_cell_length_b 8.660
_cell_length_c 6.017
_cell_angle_alpha 90.00
_cell_angle_beta 90.00
_cell_angle_gamma 90.00
_symmetry_space_group_name_H-M 'I 4/m'
_symmetry_Int_Tables_number 87
_symmetry_space_group_name_Hall '-I 4'
loop_
_atom_site_label
_atom_site_type_symbol
_atom_site_fract_x
_atom_site_fract_y
_atom_site_fract_z
_atom_site_occupancy
Mn1 Mn 0.000 0.500 0.250 1
Tl1 Tl 0.000 0.000 0.000 1
Br1 Br 0.146 0.312 0.500 1
# calculated volume: 451 Å³/cell
# N(E_F): 0.238 states/eV/atom
# electronic total energy: -4.480 eV/atom
# raw formation energy: -567 meV/atom

=====

10.
# Dy2Tm5Bi4 GGA-PBE optimized geometry
data_Dy2Tm5Bi4
_chemical_formula_sum 'Dy4 Tm10 Bi8'
_cell_length_a 24.944
_cell_length_b 3.474
_cell_length_c 8.047
_cell_angle_alpha 90.00
_cell_angle_beta 91.41
_cell_angle_gamma 90.00
_symmetry_space_group_name_H-M 'C 1 2/m 1'
_symmetry_Int_Tables_number 12
loop_
_symmetry_equiv_pos_as_xyz
'x,y,z'
'-x,-y,-z'
'-x,y,-z'
'x,-y,z'
'x+1/2,y+1/2,z'
'-x+1/2,-y+1/2,-z'
'-x+1/2,y+1/2,-z'
'x+1/2,-y+1/2,z'
loop_
_atom_site_label
_atom_site_type_symbol
_atom_site_fract_x
_atom_site_fract_y
_atom_site_fract_z
_atom_site_occupancy
Dy1 Dy 0.232 0.000 0.321 1
Tm1 Tm 0.000 0.000 0.500 1
Tm2 Tm 0.139 0.500 0.551 1
Tm3 Tm 0.173 0.500 0.986 1
Bi1 Bi 0.050 0.500 0.808 1
Bi2 Bi 0.098 0.000 0.236 1
# calculated volume: 697 Å³/cell
# N(E_F): 0.801 states/eV/atom
# formation energy: -194 meV per atom
# electronic total energy: -4.474 eV/atom

=====

11.
# PaVOs2 GGA-PBE optimized geometry
data_PaVOs2
_chemical_formula_sum 'Pa1 V1 Os2'
_cell_length_a 4.333
_cell_length_b 4.333
_cell_length_c 3.689
_cell_angle_alpha 90.00
_cell_angle_beta 90.00
_cell_angle_gamma 90.00
_symmetry_space_group_name_H-M 'P 4/m m m'
_symmetry_Int_Tables_number 123
_symmetry_space_group_name_Hall '-P 4 2'
loop_
_atom_site_label
_atom_site_type_symbol
_atom_site_fract_x
_atom_site_fract_y
_atom_site_fract_z
_atom_site_occupancy
Pa1 Pa 0.000 0.000 0.000 1
V1 V 0.500 0.500 0.000 1
Os1 Os 0.000 0.500 0.500 1
# calculated volume: 69 Å³/cell
# excess energy over the best structure of this formula in the dataset: 0.201 eV per atom
# N(E_F): 1.073 states/eV/atom
# formation energy: -96 meV per atom
# electronic total energy: -10.365 eV/atom

=====

12.
# ReMoW2 GGA-PBE optimized geometry
data_ReMoW2
_chemical_formula_sum 'Re1 Mo1 W2'
_cell_length_a 2.776
_cell_length_b 2.776
_cell_length_c 8.307
_cell_angle_alpha 90.00
_cell_angle_beta 90.00
_cell_angle_gamma 90.00
_symmetry_space_group_name_H-M 'P 4 m m'
_symmetry_Int_Tables_number 99
loop_
_symmetry_equiv_pos_as_xyz
'x,y,z'
'-y,x,z'
'-x,-y,z'
'y,-x,z'
'-x,y,z'
'y,x,z'
'x,-y,z'
'-y,-x,z'
loop_
_atom_site_label
_atom_site_type_symbol
_atom_site_fract_x
_atom_site_fract_y
_atom_site_fract_z
_atom_site_occupancy
Re1 Re 0.000 0.000 0.000 1
Mo1 Mo 0.500 0.500 0.766 1
W1 W 0.000 0.000 0.503 1
W2 W 0.500 0.500 0.238 1
# calculated volume: 64 Å³/cell
# excess energy over the best structure of this formula in the dataset: 0.272 eV per atom
# N(E_F): 0.676 states/eV/atom
# formation energy: 279 meV per atom
# electronic total energy: -12.017 eV/atom